Ti3CdC | Alexandria via LeMat-Bulk | PBEsol | optimized geometry; total magnetization = 0.0 μB per cell; DOS(E_F) = 3.2 states/eV/f.u.; energy relative to the elements = -0.493 eV per atom
1.0
4.193 0.000 0.000
0.000 4.193 0.000
0.000 0.000 4.193
Ti Cd C
3 1 1
Cartesian
0.000 0.000 2.097
0.000 2.097 0.000
2.097 0.000 0.000
2.097 2.097 2.097
0.000 0.000 0.000